# PBE-GGA TeAsSCl2, optimized geometry
data_TeAsSCl2
_chemical_formula_sum 'Te1 As1 S1 Cl2'
_symmetry_space_group_name_H-M 'P 4/m m m'
_symmetry_Int_Tables_number 123
_symmetry_space_group_name_Hall '-P 4 2'
_cell_length_a 4.8549
_cell_length_b 4.8549
_cell_length_c 5.2974
_cell_angle_alpha 90.00
_cell_angle_beta 90.00
_cell_angle_gamma 90.00
loop_
_atom_site_label
_atom_site_fract_x
_atom_site_fract_y
_atom_site_fract_z
_atom_site_occupancy
Te1 0.0000 0.0000 0.0000 1
As1 0.5000 0.5000 0.5000 1
S1 0.5000 0.5000 0.0000 1
Cl1 0.0000 0.5000 0.5000 1
# Crystal system ... tetragonal
# Offset from the most stable computed form ... 0.0 kJ per mole of atoms
# Energy ... -2.9043 eV/atom
# Formation energy from raw total energies ... 218.1 meV per atom